[1]
Density functional theory data (GGA-PBE) for a geometry-optimized AsBr structure.

Results
E above lowest polymorph   0.3437 eV per atom
Volume   226.7 Å³/cell
Uncorrected formation energy   108 meV per atom

a = 4.533 Å, b = 13.780 Å, c = 3.630 Å
α = 90.00°, β = 90.00°, γ = 90.00°
Fractional coordinates of all 8 atoms:
As  0.000  0.066  0.250
As  0.000  0.934  0.750
As  0.500  0.434  0.750
As  0.500  0.566  0.250
Br  0.000  0.375  0.250
Br  0.000  0.625  0.750
Br  0.500  0.125  0.750
Br  0.500  0.875  0.250

[2]
Density functional theory data (GGA-PBE) for a geometry-optimized As2Br structure.

Results
E above lowest polymorph   0.2240 eV per atom
Volume   343.2 Å³/cell
Uncorrected formation energy   74 meV per atom

a = 5.212 Å, b = 6.156 Å, c = 10.698 Å
α = 90.00°, β = 90.00°, γ = 90.00°
Fractional coordinates of all 12 atoms:
As  0.013  0.250  0.014
As  0.103  0.250  0.236
As  0.397  0.750  0.736
As  0.487  0.750  0.514
As  0.513  0.250  0.486
As  0.603  0.250  0.264
As  0.897  0.750  0.764
As  0.987  0.750  0.986
Br  0.079  0.750  0.410
Br  0.421  0.250  0.910
Br  0.579  0.750  0.090
Br  0.921  0.250  0.590